No. 1
Here is BaNdDy2 after structural relaxation from the Alexandria database. Energies are from PBE.

Cell: 3.7315 3.7315 10.8440 Å, 90.00 90.00 90.00°
Space group P4/mmm (No. 123)
Asymmetric unit:
Ba  0.0000  0.0000  0.0000 (multiplicity 1)
Nd  0.0000  0.0000  0.5000 (multiplicity 1)
Dy  0.5000  0.5000  0.2802 (multiplicity 2)

Summary:
The energy of formation is 14.9 kJ per mole of atoms.

No. 2
Here is BaNdDy2 after structural relaxation from the Alexandria database. Energies are from PBE.

Cell: 3.6431 3.6431 38.8518 Å, 90.00 90.00 120.00°
Space group R-3m (No. 166, hexagonal axes)
Asymmetric unit:
Ba  0.0000  0.0000  0.0000 (multiplicity 3)
Nd  0.0000  0.0000  0.5000 (multiplicity 3)
Dy  0.0000  0.0000  0.0930 (multiplicity 6)

Summary:
The energy of formation is 22.1 kJ per mole of atoms.

No. 3
Here is Ba3Nd3DyS8 after structural relaxation from the Alexandria database. Energies are from PBE.

Cell: 14.4159 8.3152 8.7350 Å, 90.00 123.38 90.00°
Space group C2/m (No. 12)
Asymmetric unit:
Ba  0.0000  0.0000  0.0000 (multiplicity 2)
Ba  0.2500  0.2500  0.0000 (multiplicity 4)
Nd  0.0000  0.5000  0.5000 (multiplicity 2)
Nd  0.2500  0.2500  0.5000 (multiplicity 4)
Dy  0.0000  0.0000  0.5000 (multiplicity 2)
S  0.0106  0.2421  0.2895 (multiplicity 8)
S  0.2316  0.0000  0.7106 (multiplicity 4)
S  0.2403  0.5000  0.7210 (multiplicity 4)

Summary:
For the uncorrected formation energy, the calculation gives -2.058 eV/atom.

No. 4
Here is Ba2NdDySe4 after structural relaxation from the Alexandria database. Energies are from PBE.

Cell: 7.5208 4.3464 7.8203 Å, 90.00 108.73 90.00°
Space group P2/m (No. 10)
Asymmetric unit:
Ba  0.0000  0.0000  0.0000 (multiplicity 1)
Ba  0.5000  0.5000  0.0000 (multiplicity 1)
Nd  0.0000  0.5000  0.5000 (multiplicity 1)
Dy  0.5000  0.0000  0.5000 (multiplicity 1)
Se  0.2470  0.0000  0.7188 (multiplicity 2)
Se  0.2683  0.5000  0.2852 (multiplicity 2)

Summary:
For the uncorrected formation energy, the calculation gives -1.893 eV/atom.

Across the entries above, calculated volume takes the values 151; 447; 874; 242 Å³ per cell, respectively.